Computed, not measured: crystalline BaMgAlAg6 at its relaxed geometry at the PBE-GGA level of DFT.

E_form	0.04	eV per atom
space-group type	Imma (74)
density	6.71	g/cm3

The structure in extended XYZ format:
```
18
Lattice="7.335 0.000 0.000 0.000 10.079 0.000 -3.668 -5.039 5.592" Properties=species:S:1:pos:R:3 pbc="T T T"
Al 3.668 0.000 0.000
Al 3.668 5.039 0.000
Ag 2.231 5.175 4.191
Ag 0.000 -2.520 4.851
Ag 5.898 5.175 1.401
Ag 3.668 7.559 0.742
Ag 1.437 5.175 1.401
Ag -2.231 -0.135 4.191
Ag 0.000 7.559 0.419
Ag 2.231 -0.135 4.191
Ag -2.231 5.175 4.191
Ag 1.437 -0.135 1.401
Ag 5.898 -0.135 1.401
Ag 3.668 -2.520 5.173
Ba 3.668 2.520 2.520
Ba 0.000 2.520 3.072
Mg -1.834 -2.520 2.796
Mg 1.834 -2.520 2.796
```